1.
Material: SiTePN2
Method: DFT, PBE
State: optimized geometry

Calculated values
final energy = -24.758 eV per cell
raw formation energy = 5.87 eV per formula unit
SG = P4/mmm, No. 123
energy above the lowest structure with this stoichiometry = 369.6 meV/atom

Unit cell a=3.5332 b=3.5332 c=7.5807 alpha=90.00 beta=90.00 gamma=90.00
Positions (direct):
Si: 0.0000 0.0000 0.0000
Te: 0.5000 0.5000 0.0000
P: 0.5000 0.5000 0.5000
N: 0.0000 0.5000 0.5000
N: 0.5000 0.0000 0.5000

2.
Material: KGa3I12
Method: DFT, PBE
State: optimized geometry

Calculated values
final energy = -72.918 eV per cell
raw formation energy = -7.68 eV per formula unit
SG = R3c, No. 161

Unit cell a=16.4873 b=16.4873 c=16.4873 alpha=42.89 beta=42.89 gamma=42.89
Positions (direct):
K: 0.0000 0.0000 0.0000
K: 0.5000 0.5000 0.5000
Ga: 0.0421 0.3636 0.7094
Ga: 0.2094 0.8636 0.5421
Ga: 0.3636 0.7094 0.0421
Ga: 0.5421 0.2094 0.8636
Ga: 0.7094 0.0421 0.3636
Ga: 0.8636 0.5421 0.2094
I: 0.1010 0.1179 0.4417
I: 0.1061 0.7791 0.7959
I: 0.1179 0.4417 0.1010
I: 0.1866 0.7680 0.4916
I: 0.2680 0.6866 0.9916
I: 0.2791 0.6061 0.2959
I: 0.2867 0.9571 0.9529
I: 0.2959 0.2791 0.6061
I: 0.4417 0.1010 0.1179
I: 0.4529 0.4571 0.7867
I: 0.4571 0.7867 0.4529
I: 0.4916 0.1866 0.7680
I: 0.6010 0.9417 0.6179
I: 0.6061 0.2959 0.2791
I: 0.6179 0.6010 0.9417
I: 0.6866 0.9916 0.2680
I: 0.7680 0.4916 0.1866
I: 0.7791 0.7959 0.1061
I: 0.7867 0.4529 0.4571
I: 0.7959 0.1061 0.7791
I: 0.9417 0.6179 0.6010
I: 0.9529 0.2867 0.9571
I: 0.9571 0.9529 0.2867
I: 0.9916 0.2680 0.6866

3.
Material: Na2LaTmSe4
Method: DFT, PBE
State: optimized geometry

Calculated values
final energy = -39.694 eV per cell
raw formation energy = -13.72 eV per formula unit
SG = P2/m, No. 10

Unit cell a=7.3486 b=4.2383 c=7.4072 alpha=90.00 beta=109.28 gamma=90.00
Positions (direct):
Na: 0.0000 0.0000 0.0000
Na: 0.5000 0.5000 0.0000
La: 0.0000 0.5000 0.5000
Tm: 0.5000 0.0000 0.5000
Se: 0.2588 0.0000 0.7346
Se: 0.2696 0.5000 0.2712
Se: 0.7304 0.5000 0.7288
Se: 0.7412 0.0000 0.2654

4.
Material: VCrBr
Method: DFT, PBE
State: optimized geometry

Calculated values
final energy = -82.661 eV per cell
raw formation energy = -0.25 eV per formula unit
SG = C2/m, No. 12
energy above the lowest structure with this stoichiometry = 11.4 meV/atom

Unit cell a=18.9352 b=3.9064 c=3.3464 alpha=90.00 beta=98.93 gamma=90.00
Positions (direct):
V: 0.0533 0.0000 0.3488
V: 0.4467 0.5000 0.6512
V: 0.5533 0.5000 0.3488
V: 0.9467 0.0000 0.6512
Cr: 0.0449 0.5000 0.8603
Cr: 0.4551 0.0000 0.1397
Cr: 0.5449 0.0000 0.8603
Cr: 0.9551 0.5000 0.1397
Br: 0.1520 0.5000 0.4117
Br: 0.3480 0.0000 0.5883
Br: 0.6520 0.0000 0.4117
Br: 0.8480 0.5000 0.5883